1.
An optimized crystal structure of LaHf2ZrIr, computed with PBE.

Summary:
theoretical density	9.2	Mg/m³
energy of formation	0.272	eV/atom
space group	P4/mmm, No. 123
D(E_F)	6.86	states/eV/f.u.
distance to the lowest polymorph of the same formula	0	meV per atom
spin magnetization	0.0	μB/f.u.
DFT total energy	-8.177	eV/atom

Cell and atoms, written as POSCAR:
```
LaHf2ZrIr
1.0
5.090 0.000 0.000
0.000 5.090 0.000
0.000 0.000 5.422
La Hf Zr Ir
1 2 1 1
Direct
0.000 0.000 0.000
0.000 0.500 0.500
0.500 0.000 0.500
0.500 0.500 0.000
0.000 0.000 0.500
```

2.
An optimized crystal structure of Li2HfIr2, computed with PBE.

Summary:
theoretical density	12.5	Mg/m³
energy of formation	-0.308	eV/atom
space group	I4/mmm, No. 139
D(E_F)	3.38	states/eV/f.u.
distance to the lowest polymorph of the same formula	7	meV per atom
spin magnetization	0.0	μB/f.u.
DFT total energy	-6.609	eV/atom

Cell and atoms, written as POSCAR:
```
Li2HfIr2
1.0
-1.649 1.649 7.073
1.649 -1.649 7.073
1.649 1.649 -7.073
Li Hf Ir
2 1 2
Direct
0.250 0.750 0.500
0.750 0.250 0.500
0.000 0.000 0.000
0.395 0.395 0.000
0.605 0.605 0.000
```